No. 1
# SbCl3O

A relaxed structure of SbCl3O (PBE-GGA, Alexandria).

Output
The calculation puts the raw formation energy at 45 kJ/mol of atoms. As for the total energy: -2.453 eV per atom. The value obtained for the distance to the lowest polymorph of the same formula is 0.433 eV/atom. As for the space group: No. 221. As for the density of states at the Fermi level: 3.9 states/eV/f.u.

Structure (CIF):
```
data_SbCl3O
_chemical_formula_sum 'Sb1 Cl3 O1'
_symmetry_space_group_name_H-M 'P 1'
_symmetry_Int_Tables_number 1
_cell_length_a 4.586
_cell_length_b 4.586
_cell_length_c 4.586
_cell_angle_alpha 90.00
_cell_angle_beta 90.00
_cell_angle_gamma 90.00
loop_
_symmetry_equiv_pos_as_xyz
'x,y,z'
loop_
_atom_site_label
_atom_site_type_symbol
_atom_site_fract_x
_atom_site_fract_y
_atom_site_fract_z
Sb1 Sb 0.000 0.000 0.000
Cl1 Cl 0.000 0.500 0.500
Cl2 Cl 0.500 0.000 0.500
Cl3 Cl 0.500 0.500 0.000
O1 O 0.500 0.500 0.500
```

=====

No. 2
# Sb3Se2ClO8

A relaxed structure of Sb3Se2ClO8 (PBE-GGA, Alexandria).

Output
The calculation puts the raw formation energy at -76 kJ/mol of atoms. As for the total energy: -5.137 eV per atom. As for the space group: No. 59.

Structure (CIF):
```
data_Sb3Se2ClO8
_chemical_formula_sum 'Sb6 Se4 Cl2 O16'
_symmetry_space_group_name_H-M 'P 1'
_symmetry_Int_Tables_number 1
_cell_length_a 7.206
_cell_length_b 10.693
_cell_length_c 8.534
_cell_angle_alpha 90.00
_cell_angle_beta 90.00
_cell_angle_gamma 90.00
loop_
_symmetry_equiv_pos_as_xyz
'x,y,z'
loop_
_atom_site_label
_atom_site_type_symbol
_atom_site_fract_x
_atom_site_fract_y
_atom_site_fract_z
Sb1 Sb 0.000 0.000 0.000
Sb2 Sb 0.000 0.500 0.000
Sb3 Sb 0.250 0.250 0.216
Sb4 Sb 0.500 0.000 0.000
Sb5 Sb 0.500 0.500 0.000
Sb6 Sb 0.750 0.750 0.784
Se1 Se 0.250 0.557 0.356
Se2 Se 0.250 0.943 0.356
Se3 Se 0.750 0.057 0.644
Se4 Se 0.750 0.443 0.644
Cl1 Cl 0.250 0.750 0.891
Cl2 Cl 0.750 0.250 0.109
O1 O 0.058 0.575 0.234
O2 O 0.058 0.925 0.234
O3 O 0.250 0.104 0.393
O4 O 0.250 0.110 0.030
O5 O 0.250 0.390 0.030
O6 O 0.250 0.396 0.393
O7 O 0.442 0.575 0.234
O8 O 0.442 0.925 0.234
O9 O 0.558 0.075 0.766
O10 O 0.558 0.425 0.766
O11 O 0.750 0.604 0.607
O12 O 0.750 0.610 0.970
O13 O 0.750 0.890 0.970
O14 O 0.750 0.896 0.607
O15 O 0.942 0.075 0.766
O16 O 0.942 0.425 0.766
```

=====

No. 3
# Tb3SbCl2O6

A relaxed structure of Tb3SbCl2O6 (PBE-GGA, Alexandria).

Output
The calculation puts the raw formation energy at -229 kJ/mol of atoms. As for the total energy: -6.660 eV per atom. As for the space group: No. 12.

Structure (CIF):
```
data_Tb3SbCl2O6
_chemical_formula_sum 'Tb3 Sb1 Cl2 O6'
_symmetry_space_group_name_H-M 'P 1'
_symmetry_Int_Tables_number 1
_cell_length_a 6.698
_cell_length_b 6.698
_cell_length_c 5.490
_cell_angle_alpha 97.99
_cell_angle_beta 97.99
_cell_angle_gamma 59.02
loop_
_symmetry_equiv_pos_as_xyz
'x,y,z'
loop_
_atom_site_label
_atom_site_type_symbol
_atom_site_fract_x
_atom_site_fract_y
_atom_site_fract_z
Tb1 Tb 0.000 0.000 0.000
Tb2 Tb 0.000 0.500 0.500
Tb3 Tb 0.500 0.000 0.500
Sb1 Sb 0.500 0.500 0.500
Cl1 Cl 0.206 0.206 0.855
Cl2 Cl 0.794 0.794 0.145
O1 O 0.200 0.679 0.705
O2 O 0.321 0.800 0.295
O3 O 0.335 0.335 0.327
O4 O 0.665 0.665 0.673
O5 O 0.679 0.200 0.705
O6 O 0.800 0.321 0.295
```

=====

What is the formula in the first record?
SbCl3O